# 1
VASP calculation (PBE) on UAg4Hg after structural relaxation.

Results
**Symmetry**: F-43m, No. 216
**Energy of formation from the pure elements**: 1.17 eV/f.u.
**Density of states at the Fermi level**: 11.3 states/eV/cell
**VASP energy**: -21.83 eV per formula unit

Cell lengths 5.600, 5.600, 5.600 Å; angles 60.00, 60.00, 60.00 degrees
Fractional positions:
1 U 0.000 0.000 0.000
2 Ag 0.375 0.375 0.375
3 Ag 0.375 0.375 0.874
4 Ag 0.375 0.874 0.375
5 Ag 0.874 0.375 0.375
6 Hg 0.750 0.750 0.750

# 2
VASP calculation (PBE) on SiBi after structural relaxation.

Results
**Symmetry**: P6_3/mmc, No. 194
**Density of states at the Fermi level**: 0.8 states/eV/cell
**VASP energy**: -8.34 eV per formula unit
**Energy relative to the elements, uncorrected**: 0.48 eV per atom

Cell lengths 4.935, 4.935, 5.825 Å; angles 90.00, 90.00, 120.00 degrees
Fractional positions:
1 Si 0.333 0.667 0.250
2 Si 0.667 0.333 0.750
3 Bi 0.333 0.667 0.750
4 Bi 0.667 0.333 0.250

# 3
VASP calculation (PBE) on AlTc2Ag after structural relaxation.

Results
**Symmetry**: Pmmm, No. 47
**Energy of formation from the pure elements**: 0.78 eV/f.u.
**Density of states at the Fermi level**: 4.5 states/eV/cell
**VASP energy**: -26.54 eV per formula unit

Cell lengths 2.848, 4.116, 5.320 Å; angles 90.00, 90.00, 90.00 degrees
Fractional positions:
1 Al 0.000 0.000 0.000
2 Tc 0.500 0.500 0.218
3 Tc 0.500 0.500 0.782
4 Ag 0.000 0.000 0.500